Compound: CoSe2BrCl
Source: the Alexandria database
Functional: PBE-GGA
Structure: optimized geometry Values from VASP.

The structure in Quantum ESPRESSO input format:
```
&SYSTEM
  ibrav = 0, nat = 5, ntyp = 4
/
ATOMIC_SPECIES
Co 58.93 Co.upf
Se 78.96 Se.upf
Br 79.90 Br.upf
Cl 35.45 Cl.upf
ATOMIC_POSITIONS crystal
Co 0.000 0.000 0.000
Se 0.000 0.500 0.000
Se 0.500 0.000 0.000
Br 0.000 0.000 0.500
Cl 0.500 0.500 0.500
CELL_PARAMETERS angstrom
4.673 0.000 0.000
0.000 4.673 0.000
0.000 0.000 4.967
```

Results
- offset from the most stable computed form (kcal/mol of atoms) = 0.00
- Fermi-level density of states (states/eV/cell) = 7.64
- formation energy without anion corrections (kJ/mol of formula units) = 168.4

***

Compound: Sm6Co2Br3Cl
Source: the Alexandria database
Functional: PBE-GGA
Structure: optimized geometry Values from VASP.

The structure in Quantum ESPRESSO input format:
```
&SYSTEM
  ibrav = 0, nat = 12, ntyp = 4
/
ATOMIC_SPECIES
Sm 150.36 Sm.upf
Co 58.93 Co.upf
Br 79.90 Br.upf
Cl 35.45 Cl.upf
ATOMIC_POSITIONS crystal
Sm 0.067 0.435 0.805
Sm 0.197 0.197 0.193
Sm 0.435 0.067 0.805
Sm 0.565 0.933 0.195
Sm 0.803 0.803 0.807
Sm 0.933 0.565 0.195
Co 0.167 0.833 0.000
Co 0.833 0.167 0.000
Br 0.000 0.000 0.500
Br 0.339 0.661 0.500
Br 0.661 0.339 0.500
Cl 0.500 0.500 0.000
CELL_PARAMETERS angstrom
3.551 -6.144 0.000
3.551 6.144 0.000
-2.356 0.000 7.494
```

Results
- Fermi-level density of states (states/eV/cell) = 8.80
- formation energy without anion corrections (kJ/mol of formula units) = -1095.4

***

Compound: Sm3CoBrCl
Source: the Alexandria database
Functional: PBE-GGA
Structure: optimized geometry Values from VASP.

The structure in Quantum ESPRESSO input format:
```
&SYSTEM
  ibrav = 0, nat = 12, ntyp = 4
/
ATOMIC_SPECIES
Sm 150.36 Sm.upf
Co 58.93 Co.upf
Br 79.90 Br.upf
Cl 35.45 Cl.upf
ATOMIC_POSITIONS crystal
Sm 0.115 0.250 0.316
Sm 0.148 0.250 0.905
Sm 0.279 0.750 0.612
Sm 0.721 0.250 0.388
Sm 0.852 0.750 0.095
Sm 0.885 0.750 0.684
Co 0.066 0.250 0.609
Co 0.934 0.750 0.391
Br 0.411 0.750 0.337
Br 0.589 0.250 0.663
Cl 0.372 0.750 0.899
Cl 0.628 0.250 0.101
CELL_PARAMETERS angstrom
8.842 0.000 0.000
0.000 3.955 0.000
-1.026 0.000 9.697
```

Results
- Fermi-level density of states (states/eV/cell) = 7.86
- formation energy without anion corrections (kJ/mol of formula units) = -545.0

***

Compound: TlCoBr2Cl
Source: the Alexandria database
Functional: PBE-GGA
Structure: optimized geometry Values from VASP.

The structure in Quantum ESPRESSO input format:
```
&SYSTEM
  ibrav = 0, nat = 5, ntyp = 4
/
ATOMIC_SPECIES
Tl 204.38 Tl.upf
Co 58.93 Co.upf
Br 79.90 Br.upf
Cl 35.45 Cl.upf
ATOMIC_POSITIONS crystal
Tl 0.000 0.000 0.000
Co 0.500 0.500 0.500
Br 0.000 0.500 0.500
Br 0.500 0.000 0.500
Cl 0.500 0.500 0.000
CELL_PARAMETERS angstrom
5.306 0.000 0.000
0.000 5.306 0.000
0.000 0.000 4.657
```

Results
- Fermi-level density of states (states/eV/cell) = 6.27
- formation energy without anion corrections (kJ/mol of formula units) = -231.3

***

Compound: CrBrCl
Source: the Alexandria database
Functional: PBE-GGA
Structure: optimized geometry Values from VASP.

The structure in Quantum ESPRESSO input format:
```
&SYSTEM
  ibrav = 0, nat = 6, ntyp = 3
/
ATOMIC_SPECIES
Cr 52.00 Cr.upf
Br 79.90 Br.upf
Cl 35.45 Cl.upf
ATOMIC_POSITIONS crystal
Cr 0.000 0.000 0.000
Cr 0.500 0.500 0.000
Br 0.161 0.500 0.230
Br 0.661 0.000 0.230
Cl 0.365 0.000 0.790
Cl 0.865 0.500 0.790
CELL_PARAMETERS angstrom
7.420 0.000 0.000
0.000 3.551 0.000
-0.922 0.000 6.553
```

Results
- offset from the most stable computed form (kcal/mol of atoms) = 0.00
- formation energy without anion corrections (kJ/mol of formula units) = -224.4

***

Compound: CrBrCl
Source: the Alexandria database
Functional: PBE-GGA
Structure: optimized geometry Values from VASP.

The structure in Quantum ESPRESSO input format:
```
&SYSTEM
  ibrav = 0, nat = 12, ntyp = 3
/
ATOMIC_SPECIES
Cr 52.00 Cr.upf
Br 79.90 Br.upf
Cl 35.45 Cl.upf
ATOMIC_POSITIONS crystal
Cr 0.000 0.000 0.000
Cr 0.000 0.500 0.500
Cr 0.500 0.000 0.500
Cr 0.500 0.500 0.000
Br 0.000 0.000 0.624
Br 0.000 0.500 0.124
Br 0.500 0.000 0.124
Br 0.500 0.500 0.624
Cl 0.000 0.000 0.389
Cl 0.000 0.500 0.889
Cl 0.500 0.000 0.889
Cl 0.500 0.500 0.389
CELL_PARAMETERS angstrom
3.517 0.000 0.000
0.000 8.034 0.000
0.000 0.000 14.262
```

Results
- offset from the most stable computed form (kcal/mol of atoms) = 0.83
- formation energy without anion corrections (kJ/mol of formula units) = -213.9

***

Compound: CrBrCl4
Source: the Alexandria database
Functional: PBE-GGA
Structure: optimized geometry Values from VASP.

The structure in Quantum ESPRESSO input format:
```
&SYSTEM
  ibrav = 0, nat = 6, ntyp = 3
/
ATOMIC_SPECIES
Cr 52.00 Cr.upf
Br 79.90 Br.upf
Cl 35.45 Cl.upf
ATOMIC_POSITIONS crystal
Cr 0.000 0.000 0.000
Br 0.750 0.750 0.750
Cl 0.374 0.374 0.374
Cl 0.374 0.374 0.877
Cl 0.374 0.877 0.374
Cl 0.877 0.374 0.374
CELL_PARAMETERS angstrom
0.000 4.105 4.105
4.105 0.000 4.105
4.105 4.105 0.000
```

Results
- Fermi-level density of states (states/eV/cell) = 8.71
- formation energy without anion corrections (kJ/mol of formula units) = 370.8

***

Compound: CrBrCl2
Source: the Alexandria database
Functional: PBE-GGA
Structure: optimized geometry Values from VASP.

The structure in Quantum ESPRESSO input format:
```
&SYSTEM
  ibrav = 0, nat = 16, ntyp = 3
/
ATOMIC_SPECIES
Cr 52.00 Cr.upf
Br 79.90 Br.upf
Cl 35.45 Cl.upf
ATOMIC_POSITIONS crystal
Cr 0.000 0.000 0.000
Cr 0.000 0.500 0.500
Cr 0.500 0.000 0.500
Cr 0.500 0.500 0.000
Br 0.250 0.250 0.750
Br 0.250 0.750 0.250
Br 0.750 0.250 0.250
Br 0.750 0.750 0.750
Cl 0.000 0.000 0.500
Cl 0.000 0.500 0.000
Cl 0.250 0.250 0.250
Cl 0.250 0.750 0.750
Cl 0.500 0.000 0.000
Cl 0.500 0.500 0.500
Cl 0.750 0.250 0.750
Cl 0.750 0.750 0.250
CELL_PARAMETERS angstrom
6.877 0.000 0.000
0.000 6.877 0.000
0.000 0.000 6.877
```

Results
- offset from the most stable computed form (kcal/mol of atoms) = 23.49
- Fermi-level density of states (states/eV/cell) = 11.28
- formation energy without anion corrections (kJ/mol of formula units) = 51.7

***

Compound: CrBrCl
Source: the Alexandria database
Functional: PBE-GGA
Structure: optimized geometry Values from VASP.

The structure in Quantum ESPRESSO input format:
```
&SYSTEM
  ibrav = 0, nat = 12, ntyp = 3
/
ATOMIC_SPECIES
Cr 52.00 Cr.upf
Br 79.90 Br.upf
Cl 35.45 Cl.upf
ATOMIC_POSITIONS crystal
Cr 0.000 0.000 0.000
Cr 0.000 0.500 0.500
Cr 0.500 0.000 0.500
Cr 0.500 0.500 0.000
Br 0.250 0.250 0.250
Br 0.250 0.750 0.750
Br 0.750 0.250 0.750
Br 0.750 0.750 0.250
Cl 0.000 0.000 0.500
Cl 0.000 0.500 0.000
Cl 0.500 0.000 0.000
Cl 0.500 0.500 0.500
CELL_PARAMETERS angstrom
6.768 0.000 0.000
0.000 6.768 0.000
0.000 0.000 6.768
```

Results
- offset from the most stable computed form (kcal/mol of atoms) = 24.33
- Fermi-level density of states (states/eV/cell) = 17.25
- formation energy without anion corrections (kJ/mol of formula units) = 81.0

***

Compound: CrBrCl2
Source: the Alexandria database
Functional: PBE-GGA
Structure: optimized geometry Values from VASP.

The structure in Quantum ESPRESSO input format:
```
&SYSTEM
  ibrav = 0, nat = 8, ntyp = 3
/
ATOMIC_SPECIES
Cr 52.00 Cr.upf
Br 79.90 Br.upf
Cl 35.45 Cl.upf
ATOMIC_POSITIONS crystal
Cr 0.000 0.000 0.000
Cr 0.500 0.500 0.500
Br 0.000 0.000 0.500
Br 0.500 0.500 0.000
Cl 0.000 0.500 0.356
Cl 0.000 0.500 0.644
Cl 0.500 0.000 0.144
Cl 0.500 0.000 0.856
CELL_PARAMETERS angstrom
3.215 0.000 0.000
0.000 6.075 0.000
0.000 0.000 11.639
```

Results
- offset from the most stable computed form (kcal/mol of atoms) = 6.52
- Fermi-level density of states (states/eV/cell) = 7.13
- formation energy without anion corrections (kJ/mol of formula units) = -232.4

***

Compound: CrBrCl
Source: the Alexandria database
Functional: PBE-GGA
Structure: optimized geometry Values from VASP.

The structure in Quantum ESPRESSO input format:
```
&SYSTEM
  ibrav = 0, nat = 6, ntyp = 3
/
ATOMIC_SPECIES
Cr 52.00 Cr.upf
Br 79.90 Br.upf
Cl 35.45 Cl.upf
ATOMIC_POSITIONS crystal
Cr 0.000 0.000 0.000
Cr 0.132 0.048 0.278
Br 0.373 0.743 0.857
Br 0.531 0.222 0.940
Cl 0.603 0.845 0.331
Cl 0.746 0.284 0.405
CELL_PARAMETERS angstrom
3.311 0.000 0.000
-0.839 7.331 0.000
-1.430 -2.451 6.892
```

Results
- offset from the most stable computed form (kcal/mol of atoms) = 2.82
- Fermi-level density of states (states/eV/cell) = 1.76
- formation energy without anion corrections (kJ/mol of formula units) = -189.0

***

Compound: CrBrCl2
Source: the Alexandria database
Functional: PBE-GGA
Structure: optimized geometry Values from VASP.

The structure in Quantum ESPRESSO input format:
```
&SYSTEM
  ibrav = 0, nat = 8, ntyp = 3
/
ATOMIC_SPECIES
Cr 52.00 Cr.upf
Br 79.90 Br.upf
Cl 35.45 Cl.upf
ATOMIC_POSITIONS crystal
Cr 0.000 0.000 0.000
Cr 0.500 0.500 0.000
Br 0.348 0.000 0.708
Br 0.848 0.500 0.708
Cl 0.135 0.500 0.994
Cl 0.495 0.000 0.258
Cl 0.635 0.000 0.994
Cl 0.995 0.500 0.258
CELL_PARAMETERS angstrom
12.848 0.000 0.000
0.000 3.247 0.000
-3.312 0.000 5.820
```

Results
- offset from the most stable computed form (kcal/mol of atoms) = 2.43
- formation energy without anion corrections (kJ/mol of formula units) = -300.8

***

Compound: Cr2BrCl
Source: the Alexandria database
Functional: PBE-GGA
Structure: optimized geometry Values from VASP.

The structure in Quantum ESPRESSO input format:
```
&SYSTEM
  ibrav = 0, nat = 8, ntyp = 3
/
ATOMIC_SPECIES
Cr 52.00 Cr.upf
Br 79.90 Br.upf
Cl 35.45 Cl.upf
ATOMIC_POSITIONS crystal
Cr 0.000 0.000 0.000
Cr 0.246 0.500 0.249
Cr 0.500 0.500 0.000
Cr 0.746 0.000 0.249
Br 0.471 0.000 0.435
Br 0.971 0.500 0.435
Cl 0.281 0.000 0.836
Cl 0.781 0.500 0.836
CELL_PARAMETERS angstrom
6.150 0.000 0.000
0.000 3.525 0.000
-1.897 0.000 8.566
```

Results
- offset from the most stable computed form (kcal/mol of atoms) = 4.24
- Fermi-level density of states (states/eV/cell) = 1.40
- formation energy without anion corrections (kJ/mol of formula units) = 0.8

***

Compound: CrBrCl
Source: the Alexandria database
Functional: PBE-GGA
Structure: optimized geometry Values from VASP.

The structure in Quantum ESPRESSO input format:
```
&SYSTEM
  ibrav = 0, nat = 6, ntyp = 3
/
ATOMIC_SPECIES
Cr 52.00 Cr.upf
Br 79.90 Br.upf
Cl 35.45 Cl.upf
ATOMIC_POSITIONS crystal
Cr 0.000 0.000 0.000
Cr 0.500 0.500 0.500
Br 0.000 0.000 0.620
Br 0.500 0.500 0.120
Cl 0.000 0.000 0.393
Cl 0.500 0.500 0.893
CELL_PARAMETERS angstrom
3.295 0.000 0.000
0.000 3.295 0.000
0.000 0.000 13.722
```

Results
- offset from the most stable computed form (kcal/mol of atoms) = 10.30
- Fermi-level density of states (states/eV/cell) = 7.19
- formation energy without anion corrections (kJ/mol of formula units) = -95.1